No. 1
# PBE-GGA NiSnPb3, optimized geometry
# VASP energy: -3.063 eV/atom
# Polymorph energy (0 for the lowest one): 4.811 eV per formula unit
# D(E_F): 7.5 states/eV/f.u.
# Formation energy: 5.60 eV/f.u.
data_NiSnPb3
_symmetry_space_group_name_H-M 'P m -3 m'
_symmetry_Int_Tables_number 221
_symmetry_space_group_name_Hall '-P 4 2 3'
_cell_length_a 5.7925
_cell_length_b 5.7925
_cell_length_c 5.7925
_cell_angle_alpha 90.00
_cell_angle_beta 90.00
_cell_angle_gamma 90.00
loop_
_atom_site_label
_atom_site_fract_x
_atom_site_fract_y
_atom_site_fract_z
Ni1 0.0000 0.0000 0.0000
Sn1 0.5000 0.5000 0.5000
Pb1 0.0000 0.5000 0.5000



No. 2
# PBE-GGA Ni2Sn2Pb, optimized geometry
# VASP energy: -4.614 eV/atom
# Polymorph energy (0 for the lowest one): 0.000 eV per formula unit
# D(E_F): 2.9 states/eV/f.u.
# Formation energy: 0.21 eV/f.u.
data_Ni2Sn2Pb
_symmetry_space_group_name_H-M 'I 4/m m m'
_symmetry_Int_Tables_number 139
_symmetry_space_group_name_Hall '-I 4 2'
_cell_length_a 4.4924
_cell_length_b 4.4924
_cell_length_c 10.6441
_cell_angle_alpha 90.00
_cell_angle_beta 90.00
_cell_angle_gamma 90.00
loop_
_atom_site_label
_atom_site_fract_x
_atom_site_fract_y
_atom_site_fract_z
Ni1 0.0000 0.5000 0.2500
Sn1 0.0000 0.0000 0.1385
Pb1 0.0000 0.0000 0.5000



No. 3
# PBE-GGA SrNi2SnPb, optimized geometry
# VASP energy: -3.853 eV/atom
# D(E_F): 3.0 states/eV/f.u.
# Formation energy: 1.69 eV/f.u.
data_SrNi2SnPb
_symmetry_space_group_name_H-M 'P 4/m m m'
_symmetry_Int_Tables_number 123
_symmetry_space_group_name_Hall '-P 4 2'
_cell_length_a 4.8854
_cell_length_b 4.8854
_cell_length_c 5.7169
_cell_angle_alpha 90.00
_cell_angle_beta 90.00
_cell_angle_gamma 90.00
loop_
_atom_site_label
_atom_site_fract_x
_atom_site_fract_y
_atom_site_fract_z
Sr1 0.0000 0.0000 0.0000
Ni1 0.0000 0.5000 0.5000
Sn1 0.5000 0.5000 0.5000
Pb1 0.5000 0.5000 0.0000



Repeat the third record exactly.
# PBE-GGA SrNi2SnPb, optimized geometry
# VASP energy: -3.853 eV/atom
# D(E_F): 3.0 states/eV/f.u.
# Formation energy: 1.69 eV/f.u.
data_SrNi2SnPb
_symmetry_space_group_name_H-M 'P 4/m m m'
_symmetry_Int_Tables_number 123
_symmetry_space_group_name_Hall '-P 4 2'
_cell_length_a 4.8854
_cell_length_b 4.8854
_cell_length_c 5.7169
_cell_angle_alpha 90.00
_cell_angle_beta 90.00
_cell_angle_gamma 90.00
loop_
_atom_site_label
_atom_site_fract_x
_atom_site_fract_y
_atom_site_fract_z
Sr1 0.0000 0.0000 0.0000
Ni1 0.0000 0.5000 0.5000
Sn1 0.5000 0.5000 0.5000
Pb1 0.5000 0.5000 0.0000



Number 1 is which compound? NiSnPb3



Which of these has the lowest VASP energy? Ni2Sn2Pb



What is the formula in the third record? SrNi2SnPb